## LiAlFe2Pt4 (GGA-PBE)

Data for LiAlFe2Pt4 after structural relaxation.

Cell: 4.312 4.312 6.073 Å, 90.00 90.00 90.00°
Fractional positions:
Li1 0.000 0.000 0.000
Al1 0.500 0.500 0.500
Fe1 0.000 0.000 0.500
Fe2 0.500 0.500 0.000
Pt1 0.000 0.500 0.249
Pt2 0.000 0.500 0.751
Pt3 0.500 0.000 0.249
Pt4 0.500 0.000 0.751

Properties
The volume is 112.91 Å³/cell. The electronic total energy is -6.282 eV per atom.